[1]
A plane-wave DFT calculation with PBE-GGA was carried out for a geometry-optimized BaLa2 structure.

Output
The distance to the lowest polymorph of the same formula is 0.55 eV per formula unit. The formation enthalpy at 0 K is 0.8 eV per formula unit.

CIF file:
```
data_BaLa2
_cell_length_a 3.837
_cell_length_b 6.582
_cell_length_c 20.468
_cell_angle_alpha 90.00
_cell_angle_beta 90.00
_cell_angle_gamma 90.00
_symmetry_space_group_name_H-M 'I m m a'
_symmetry_Int_Tables_number 74
_symmetry_space_group_name_Hall '-I 2b 2'
loop_
_atom_site_label
_atom_site_fract_x
_atom_site_fract_y
_atom_site_fract_z
Ba1 0.000 0.250 0.145
La1 0.000 0.250 0.527
La2 0.000 0.250 0.683
```



[2]
A plane-wave DFT calculation with PBE-GGA was carried out for a geometry-optimized Ba5La structure.

Output
The distance to the lowest polymorph of the same formula is 0.00 eV per formula unit. The formation enthalpy at 0 K is 0.6 eV per formula unit.

CIF file:
```
data_Ba5La
_cell_length_a 6.909
_cell_length_b 20.742
_cell_length_c 4.761
_cell_angle_alpha 90.00
_cell_angle_beta 90.00
_cell_angle_gamma 90.00
_symmetry_space_group_name_H-M 'C m m m'
_symmetry_Int_Tables_number 65
_symmetry_space_group_name_Hall '-C 2 2'
loop_
_atom_site_label
_atom_site_fract_x
_atom_site_fract_y
_atom_site_fract_z
Ba1 0.000 0.000 0.000
Ba2 0.000 0.168 0.500
Ba3 0.000 0.344 0.000
La1 0.000 0.500 0.500
```



[3]
A plane-wave DFT calculation with PBE-GGA was carried out for a geometry-optimized Ba2La structure.

Output
The distance to the lowest polymorph of the same formula is 0.20 eV per formula unit. The formation enthalpy at 0 K is 0.6 eV per formula unit.

CIF file:
```
data_Ba2La
_cell_length_a 4.010
_cell_length_b 4.010
_cell_length_c 38.612
_cell_angle_alpha 90.00
_cell_angle_beta 90.00
_cell_angle_gamma 90.00
_symmetry_space_group_name_H-M 'I 41/a m d'
_symmetry_Int_Tables_number 141
loop_
_symmetry_equiv_pos_as_xyz
'x,y,z'
'-x,-y,-z'
'-y+1/4,x+3/4,z+1/4'
'y+1/4,-x+3/4,-z+1/4'
'-x+1/2,-y,z+1/2'
'x+1/2,y,-z+1/2'
'y+1/4,-x+1/4,z+3/4'
'-y+1/4,x+1/4,-z+3/4'
'x,-y,-z'
'-x,y,z'
'-y+1/4,-x+1/4,-z+3/4'
'y+1/4,x+1/4,z+3/4'
'-x+1/2,y,-z+1/2'
'x+1/2,-y,z+1/2'
'y+1/4,x+3/4,-z+1/4'
'-y+1/4,-x+3/4,z+1/4'
'x+1/2,y+1/2,z+1/2'
'-x+1/2,-y+1/2,-z+1/2'
'-y+3/4,x+1/4,z+3/4'
'y+3/4,-x+1/4,-z+3/4'
'-x,-y+1/2,z'
'x,y+1/2,-z'
'y+3/4,-x+3/4,z+1/4'
'-y+3/4,x+3/4,-z+1/4'
'x+1/2,-y+1/2,-z+1/2'
'-x+1/2,y+1/2,z+1/2'
'-y+3/4,-x+3/4,-z+1/4'
'y+3/4,x+3/4,z+1/4'
'-x,y+1/2,-z'
'x,-y+1/2,z'
'y+3/4,x+1/4,-z+3/4'
'-y+3/4,-x+1/4,z+3/4'
loop_
_atom_site_label
_atom_site_fract_x
_atom_site_fract_y
_atom_site_fract_z
Ba1 0.000 0.250 0.299
La1 0.000 0.250 0.875
```



[4]
A plane-wave DFT calculation with PBE-GGA was carried out for a geometry-optimized BaLa5 structure.

Output
The distance to the lowest polymorph of the same formula is 0.28 eV per formula unit. The formation enthalpy at 0 K is 0.6 eV per formula unit.

CIF file:
```
data_BaLa5
_cell_length_a 14.336
_cell_length_b 3.777
_cell_length_c 9.133
_cell_angle_alpha 90.00
_cell_angle_beta 104.38
_cell_angle_gamma 90.00
_symmetry_space_group_name_H-M 'C 1 m 1'
_symmetry_Int_Tables_number 8
_symmetry_space_group_name_Hall 'C -2y'
loop_
_atom_site_label
_atom_site_fract_x
_atom_site_fract_y
_atom_site_fract_z
Ba1 0.000 0.000 0.000
La1 0.118 0.500 0.704
La2 0.183 0.500 0.346
La3 0.268 0.000 0.049
La4 0.328 0.000 0.653
La5 0.447 0.500 0.390
```



[5]
A plane-wave DFT calculation with PBE-GGA was carried out for a geometry-optimized Ba8La structure.

Output
The formation enthalpy at 0 K is 0.8 eV per formula unit.

CIF file:
```
data_Ba8La
_cell_length_a 13.137
_cell_length_b 13.137
_cell_length_c 6.174
_cell_angle_alpha 90.00
_cell_angle_beta 90.00
_cell_angle_gamma 90.00
_symmetry_space_group_name_H-M 'I 4/m m m'
_symmetry_Int_Tables_number 139
_symmetry_space_group_name_Hall '-I 4 2'
loop_
_atom_site_label
_atom_site_fract_x
_atom_site_fract_y
_atom_site_fract_z
Ba1 0.000 0.326 0.000
Ba2 0.160 0.160 0.500
La1 0.000 0.000 0.000
```



[6]
A plane-wave DFT calculation with PBE-GGA was carried out for a geometry-optimized BaLa2 structure.

Output
The distance to the lowest polymorph of the same formula is 0.00 eV per formula unit. The formation enthalpy at 0 K is 0.3 eV per formula unit.

CIF file:
```
data_BaLa2
_cell_length_a 3.858
_cell_length_b 3.858
_cell_length_c 17.352
_cell_angle_alpha 90.00
_cell_angle_beta 90.00
_cell_angle_gamma 90.00
_symmetry_space_group_name_H-M 'I 4/m m m'
_symmetry_Int_Tables_number 139
_symmetry_space_group_name_Hall '-I 4 2'
loop_
_atom_site_label
_atom_site_fract_x
_atom_site_fract_y
_atom_site_fract_z
Ba1 0.000 0.000 0.000
La1 0.000 0.000 0.318
```